# 1
## AlCdGe (PBE-GGA)

Data for a relaxed structure of AlCdGe.

a = 4.5718 Å, b = 4.5718 Å, c = 4.5718 Å
α = 60.00°, β = 60.00°, γ = 60.00°
Atoms (fractional coordinates):
Cd: 0.7500 0.7500 0.7500
Al: 0.2500 0.2500 0.2500
Ge: 0.0000 0.0000 0.0000

Output
calculated density	5.2	Mg/m³
space group	No. 216
excess energy over the best structure of this formula in the dataset	0.000	eV per atom
V	22.52	A^3/atom

# 2
## BaHoAgTeSe2 (PBE-GGA)

Data for a relaxed structure of BaHoAgTeSe2.

a = 7.7923 Å, b = 7.7923 Å, c = 11.0842 Å
α = 90.00°, β = 90.00°, γ = 148.33°
Atoms (fractional coordinates):
Ba: 0.7731 0.2269 0.7500
Ba: 0.2269 0.7731 0.2500
Ag: 0.5271 0.4729 0.2500
Ag: 0.4729 0.5271 0.7500
Ho: 0.0000 0.0000 0.5000
Ho: 0.0000 0.0000 0.0000
Se: 0.6277 0.3723 0.4457
Se: 0.6277 0.3723 0.0543
Se: 0.3723 0.6277 0.5543
Se: 0.3723 0.6277 0.9457
Te: 0.0922 0.9078 0.7500
Te: 0.9078 0.0922 0.2500

Output
calculated density	6.5	Mg/m³
space group	No. 63
V	29.45	A^3/atom
DFT total energy	-4.654	eV per atom

# 3
## KRbZnSn (PBE-GGA)

Data for a relaxed structure of KRbZnSn.

a = 6.6291 Å, b = 6.9760 Å, c = 6.9760 Å
α = 107.31°, β = 90.00°, γ = 90.00°
Atoms (fractional coordinates):
K: 0.0000 0.3255 0.9890
K: 0.0000 0.9890 0.3255
Rb: 0.5000 0.6756 0.0146
Rb: 0.5000 0.0146 0.6756
Zn: 0.7503 0.4987 0.4987
Zn: 0.2497 0.4987 0.4987
Sn: 0.0000 0.7459 0.7459
Sn: 0.5000 0.2521 0.2521

Output
calculated density	3.3	Mg/m³
space group	No. 38
excess energy over the best structure of this formula in the dataset	0.003	eV per atom
V	38.50	A^3/atom

# 4
## PrMgSi (PBE-GGA)

Data for a relaxed structure of PrMgSi.

a = 4.7916 Å, b = 4.7916 Å, c = 4.7916 Å
α = 60.00°, β = 60.00°, γ = 60.00°
Atoms (fractional coordinates):
Pr: 0.7500 0.7500 0.7500
Mg: 0.2500 0.2500 0.2500
Si: 0.0000 0.0000 0.0000

Output
calculated density	4.1	Mg/m³
space group	No. 216
V	25.93	A^3/atom
DFT total energy	-4.292	eV per atom

# 5
## CsGeAu3Se4 (PBE-GGA)

Data for a relaxed structure of CsGeAu3Se4.

a = 6.6769 Å, b = 6.6769 Å, c = 6.6769 Å
α = 90.00°, β = 90.00°, γ = 90.00°
Atoms (fractional coordinates):
Se: 0.7057 0.7057 0.2943
Se: 0.2943 0.7057 0.7057
Se: 0.7057 0.2943 0.7057
Se: 0.2943 0.2943 0.2943
Cs: 0.0000 0.0000 0.0000
Ge: 0.5000 0.5000 0.5000
Au: 0.0000 0.5000 0.5000
Au: 0.5000 0.5000 0.0000
Au: 0.5000 0.0000 0.5000

Output
calculated density	6.2	Mg/m³
space group	No. 215
excess energy over the best structure of this formula in the dataset	0.150	eV per atom
V	33.07	A^3/atom

# 6
## AcPaSb (PBE-GGA)

Data for a relaxed structure of AcPaSb.

a = 5.3617 Å, b = 5.3617 Å, c = 5.3617 Å
α = 60.00°, β = 60.00°, γ = 60.00°
Site moments in Bohr magnetons follow the coordinates.
Atoms (fractional coordinates):
Sb: 0.0000 0.0000 0.0000  -0.02
Pa: 0.2500 0.2500 0.2500  1.83
Ac: 0.5000 0.5000 0.5000  0.46

Output
calculated density	8.8	Mg/m³
space group	No. 216
excess energy over the best structure of this formula in the dataset	0.000	eV per atom
V	36.33	A^3/atom

Copy entry 3 word for word.
## KRbZnSn (PBE-GGA)

Data for a relaxed structure of KRbZnSn.

a = 6.6291 Å, b = 6.9760 Å, c = 6.9760 Å
α = 107.31°, β = 90.00°, γ = 90.00°
Atoms (fractional coordinates):
K: 0.0000 0.3255 0.9890
K: 0.0000 0.9890 0.3255
Rb: 0.5000 0.6756 0.0146
Rb: 0.5000 0.0146 0.6756
Zn: 0.7503 0.4987 0.4987
Zn: 0.2497 0.4987 0.4987
Sn: 0.0000 0.7459 0.7459
Sn: 0.5000 0.2521 0.2521

Output
calculated density	3.3	Mg/m³
space group	No. 38
excess energy over the best structure of this formula in the dataset	0.003	eV per atom
V	38.50	A^3/atom

> What is the formula in the fifth record?

CsGeAu3Se4

> The lowest V belongs to which entry?

AlCdGe